Computed, not measured: Na4Dy3TmSe8 after structural relaxation at the PBE-GGA level of DFT.

## Properties
The value obtained for the formation energy from raw total energies is -27.3 eV per formula unit.

Cell lengths 8.2658, 8.4803, 8.2665 Å; angles 119.21, 120.00, 90.00 degrees
Closest atoms and distances in Å follow each position.
Element x y z (fractional)
Dy1 0.5000 0.5000 0.0000  6 Se 2.88
Dy2 0.5000 0.5000 0.5000  6 Se 2.88
Dy3 0.0000 0.5000 0.5000  6 Se 2.88
Na1 0.0000 0.0000 0.5000  6 Se 3.04-3.05
Na2 0.5000 0.0000 0.0000  6 Se 3.07
Na3 0.0000 0.0000 0.0000  6 Se 3.04-3.05
Na4 0.5000 0.0000 0.5000  6 Se 3.04-3.05
Se1 0.7585 0.2717 0.0129  1 Tm 2.86, 2 Dy 2.88, 3 Na 3.04-3.07
Se2 0.2415 0.7283 0.9871  1 Tm 2.86, 2 Dy 2.88, 3 Na 3.04-3.07
Se3 0.7456 0.7283 0.9871  1 Tm 2.86, 2 Dy 2.88, 3 Na 3.04-3.07
Se4 0.7433 0.7297 0.4867  3 Dy 2.88, 3 Na 3.04-3.05
Se5 0.2415 0.7283 0.4830  1 Tm 2.86, 2 Dy 2.88, 3 Na 3.05-3.07
Se6 0.7585 0.2717 0.5170  1 Tm 2.86, 2 Dy 2.88, 3 Na 3.05-3.07
Se7 0.2567 0.2703 0.5133  3 Dy 2.88, 3 Na 3.04-3.05
Se8 0.2544 0.2717 0.0129  1 Tm 2.86, 2 Dy 2.88, 3 Na 3.04-3.07
Tm1 0.0000 0.5000 0.0000  6 Se 2.86

---

Computed, not measured: Na3DyTm2Se6 after structural relaxation at the PBE-GGA level of DFT.

## Properties
The value obtained for the formation energy from raw total energies is -20.4 eV per formula unit.

Cell lengths 7.1228, 7.1228, 7.3942 Å; angles 99.24, 99.24, 120.00 degrees
Closest atoms and distances in Å follow each position.
Element x y z (fractional)
Se1 0.5878 0.9241 0.7725  2 Tm 2.85, 1 Dy 2.88, 3 Na 3.03-3.05
Se2 0.0759 0.4122 0.2275  2 Tm 2.85, 1 Dy 2.88, 3 Na 3.03-3.05
Se3 0.7395 0.7395 0.2277  2 Tm 2.85, 1 Dy 2.88, 3 Na 3.03-3.05
Se4 0.4122 0.0759 0.2275  2 Tm 2.85, 1 Dy 2.88, 3 Na 3.03-3.05
Se5 0.9241 0.5878 0.7725  2 Tm 2.85, 1 Dy 2.88, 3 Na 3.03-3.05
Se6 0.2605 0.2605 0.7723  2 Tm 2.85, 1 Dy 2.88, 3 Na 3.03-3.05
Na1 0.1662 0.8338 0.5000  6 Se 3.03-3.05
Na2 0.8338 0.1662 0.5000  6 Se 3.03-3.05
Na3 0.5000 0.5000 0.5000  6 Se 3.03-3.05
Tm1 0.6668 0.3332 0.0000  6 Se 2.85
Tm2 0.3332 0.6668 0.0000  6 Se 2.85
Dy1 0.0000 0.0000 0.0000  6 Se 2.88

---

Computed, not measured: Na3Dy2USe6 after structural relaxation at the PBE-GGA level of DFT.

## Properties
The value obtained for the formation energy from raw total energies is -18.1 eV per formula unit.

Cell lengths 7.2010, 7.2010, 7.4308 Å; angles 99.31, 99.31, 120.00 degrees
Closest atoms and distances in Å follow each position.
Element x y z (fractional)
Se1 0.4140 0.0772 0.2316  2 Dy 2.89, 1 U 2.92, 3 Na 3.03-3.06
Se2 0.5860 0.9228 0.7684  2 Dy 2.89, 1 U 2.92, 3 Na 3.03-3.06
Se3 0.7408 0.7408 0.2320  2 Dy 2.89, 1 U 2.92, 3 Na 3.03-3.06
Se4 0.0772 0.4140 0.2316  2 Dy 2.89, 1 U 2.92, 3 Na 3.03-3.06
Se5 0.9228 0.5860 0.7684  2 Dy 2.89, 1 U 2.92, 3 Na 3.03-3.06
Se6 0.2592 0.2592 0.7680  2 Dy 2.89, 1 U 2.92, 3 Na 3.03-3.06
Na1 0.1668 0.8332 0.5000  6 Se 3.03-3.06
Na2 0.5000 0.5000 0.5000  6 Se 3.03-3.06
Na3 0.8332 0.1668 0.5000  6 Se 3.03-3.06
U1 0.0000 0.0000 0.0000  6 Se 2.92
Dy1 0.3333 0.6667 0.0000  6 Se 2.89
Dy2 0.6667 0.3333 0.0000  6 Se 2.89

---

Computed, not measured: NaDy2USe4 after structural relaxation at the PBE-GGA level of DFT.

## Properties
The value obtained for the formation energy from raw total energies is -12.0 eV per formula unit.

Cell lengths 4.0597, 7.1392, 7.1601 Å; angles 71.12, 90.00, 90.00 degrees
Closest atoms and distances in Å follow each position.
Element x y z (fractional)
Dy1 0.5000 0.0000 0.5000  6 Se 2.88-2.90
Dy2 0.0000 0.0000 0.0000  6 Se 2.89
Se1 0.5000 0.2465 0.7527  3 Dy 2.89-2.90, 1 Na 2.91, 2 U 2.92
Se2 0.0000 0.2442 0.2529  3 Dy 2.88-2.89, 1 U 2.92, 2 Na 2.93
Se3 0.5000 0.7535 0.2473  3 Dy 2.89-2.90, 1 Na 2.91, 2 U 2.92
Se4 0.0000 0.7558 0.7471  3 Dy 2.88-2.89, 1 U 2.93, 2 Na 2.93
U1 0.0000 0.5000 0.5000  6 Se 2.92-2.93
Na1 0.5000 0.5000 0.0000  6 Se 2.91-2.93

---

Computed, not measured: Na2Dy2USe6 after structural relaxation at the PBE-GGA level of DFT.

## Properties
The value obtained for the formation energy from raw total energies is -16.9 eV per formula unit.

Cell lengths 7.1654, 7.1654, 7.4493 Å; angles 99.30, 99.30, 119.78 degrees
Closest atoms and distances in Å follow each position.
Element x y z (fractional)
Se1 0.0739 0.4053 0.7253  1 U 2.85, 2 Dy 2.87-2.89, 2 Na 3.07
Se2 0.5947 0.9261 0.2747  1 U 2.85, 2 Dy 2.87-2.89, 2 Na 3.07
Se3 0.9261 0.5947 0.2747  1 U 2.85, 2 Dy 2.87-2.89, 2 Na 3.07
Se4 0.7474 0.7474 0.7244  1 U 2.84, 2 Dy 2.88, 2 Na 3.08
Se5 0.4053 0.0739 0.7253  1 U 2.85, 2 Dy 2.87-2.89, 2 Na 3.07
Se6 0.2526 0.2526 0.2756  1 U 2.84, 2 Dy 2.88, 2 Na 3.08
Dy1 0.6664 0.3336 0.5000  6 Se 2.87-2.89
Dy2 0.3336 0.6664 0.5000  6 Se 2.87-2.89
U1 0.0000 0.0000 0.5000  6 Se 2.84-2.85
Na1 0.8316 0.1684 0.0000  6 Se 3.07-3.08
Na2 0.1684 0.8316 0.0000  6 Se 3.07-3.08

---

Computed, not measured: Na3Dy3VSe8 after structural relaxation at the PBE-GGA level of DFT.

## Properties
The value obtained for the formation energy from raw total energies is -21.4 eV per formula unit.

Cell lengths 8.0548, 8.0551, 8.5101 Å; angles 118.26, 90.00, 120.00 degrees
Closest atoms and distances in Å follow each position.
Element x y z (fractional)
Se1 0.7771 0.0104 0.2878  1 V 2.61, 2 Dy 2.86-2.87
Se2 0.7770 0.5541 0.2877  1 V 2.61, 2 Dy 2.86
Se3 0.2230 0.4459 0.7123  1 V 2.61, 2 Dy 2.86
Se4 0.7667 0.9896 0.7122  1 V 2.61, 2 Dy 2.86-2.87
Se5 0.7441 0.4882 0.7322  3 Dy 2.85, 3 Na 3.01
Se6 0.2559 0.5118 0.2678  3 Dy 2.85, 3 Na 3.01
Se7 0.2229 0.9896 0.7122  1 V 2.61, 2 Dy 2.86-2.87
Se8 0.2333 0.0104 0.2878  1 V 2.61, 2 Dy 2.86-2.87
Dy1 0.5000 0.5000 0.5000  6 Se 2.85-2.87
Dy2 0.5000 0.0000 0.5000  6 Se 2.85-2.86
Dy3 0.0000 0.5000 0.5000  6 Se 2.85-2.87
Na1 0.0000 0.0000 0.0000  6 Se 3.01-3.03
Na2 0.0000 0.5000 0.0000  6 Se 3.01-3.03
Na3 0.5000 0.5000 0.0000  6 Se 3.01-3.03
V1 0.0000 0.0000 0.5000  6 Se 2.61

---

Computed, not measured: Na3Dy2YSe6 after structural relaxation at the PBE-GGA level of DFT.

## Properties
The value obtained for the formation energy from raw total energies is -20.5 eV per formula unit.

Cell lengths 7.1827, 7.1827, 7.4046 Å; angles 99.30, 99.30, 120.01 degrees
Closest atoms and distances in Å follow each position.
Element x y z (fractional)
Se1 0.5898 0.9235 0.7704  2 Dy 2.88, 1 Y 2.89, 3 Na 3.05
Se2 0.9235 0.5898 0.7704  2 Dy 2.88, 1 Y 2.89, 3 Na 3.05
Se3 0.4102 0.0765 0.2296  2 Dy 2.88, 1 Y 2.89, 3 Na 3.05
Se4 0.2572 0.2572 0.7704  2 Dy 2.88, 1 Y 2.89, 3 Na 3.05
Se5 0.7428 0.7428 0.2296  2 Dy 2.88, 1 Y 2.89, 3 Na 3.05
Se6 0.0765 0.4102 0.2296  2 Dy 2.88, 1 Y 2.89, 3 Na 3.05
Na1 0.5000 0.5000 0.5000  6 Se 3.05
Na2 0.8334 0.1666 0.5000  6 Se 3.05
Na3 0.1666 0.8334 0.5000  6 Se 3.05
Dy1 0.3333 0.6667 0.0000  6 Se 2.88
Dy2 0.6667 0.3333 0.0000  6 Se 2.88
Y1 0.0000 0.0000 0.0000  6 Se 2.89

---

Computed, not measured: Na2DyYSe4 after structural relaxation at the PBE-GGA level of DFT.

## Properties
The value obtained for the formation energy from raw total energies is -13.7 eV per formula unit.

Cell lengths 4.1467, 7.1809, 7.4101 Å; angles 108.85, 90.00, 90.00 degrees
Closest atoms and distances in Å follow each position.
Element x y z (fractional)
Se1 0.5000 0.7564 0.7703  1 Dy 2.88, 2 Y 2.89, 3 Na 3.05-3.06
Se2 0.5000 0.2436 0.2297  1 Dy 2.88, 2 Y 2.89, 3 Na 3.05-3.06
Se3 0.0000 0.7428 0.2294  2 Dy 2.88, 1 Y 2.89, 3 Na 3.05-3.06
Se4 0.0000 0.2572 0.7706  2 Dy 2.88, 1 Y 2.89, 3 Na 3.05-3.06
Na1 0.0000 0.5000 0.5000  6 Se 3.05
Na2 0.5000 0.0000 0.5000  6 Se 3.06
Y1 0.0000 0.0000 0.0000  6 Se 2.89
Dy1 0.5000 0.5000 0.0000  6 Se 2.88

---

> formation energy from raw total energies of number 3 (Na3Dy2USe6)?

-18.1 eV per formula unit